No. 1
A plane-wave DFT calculation with GGA-PBE was carried out for a relaxed structure of CaNd4Tm3Te8.

a b c (Å): 8.989 8.989 8.989
angles (deg): 57.93 57.93 57.93
Element x y z (fractional)
Ca  0.000  0.000  0.000
Nd  0.000  0.000  0.500
Nd  0.000  0.500  0.000
Nd  0.500  0.000  0.000
Nd  0.500  0.500  0.500
Tm  0.000  0.500  0.500
Tm  0.500  0.000  0.500
Tm  0.500  0.500  0.000
Te  0.247  0.247  0.741
Te  0.247  0.741  0.247
Te  0.256  0.256  0.256
Te  0.259  0.753  0.753
Te  0.741  0.247  0.247
Te  0.744  0.744  0.744
Te  0.753  0.259  0.753
Te  0.753  0.753  0.259

**Formation energy without anion corrections**: -1.354 eV per atom
**Symmetry**: R-3m
**Total magnetization**: 0.000 μB/f.u.

---

No. 2
A plane-wave DFT calculation with GGA-PBE was carried out for a relaxed structure of ZrBe5Ni.

a b c (Å): 7.306 4.292 9.116
angles (deg): 90.00 90.00 90.00
Element x y z (fractional)
Zr  0.233  0.250  0.063
Zr  0.267  0.750  0.563
Zr  0.733  0.250  0.437
Zr  0.767  0.750  0.937
Be  0.039  0.750  0.109
Be  0.060  0.007  0.312
Be  0.060  0.493  0.312
Be  0.079  0.250  0.515
Be  0.197  0.250  0.749
Be  0.303  0.750  0.249
Be  0.421  0.750  0.015
Be  0.440  0.507  0.812
Be  0.440  0.993  0.812
Be  0.461  0.250  0.609
Be  0.539  0.750  0.391
Be  0.560  0.007  0.188
Be  0.560  0.493  0.188
Be  0.579  0.250  0.985
Be  0.697  0.250  0.751
Be  0.803  0.750  0.251
Be  0.921  0.750  0.485
Be  0.940  0.507  0.688
Be  0.940  0.993  0.688
Be  0.961  0.250  0.891
Ni  0.144  0.750  0.861
Ni  0.356  0.250  0.361
Ni  0.644  0.750  0.639
Ni  0.856  0.250  0.139

**Symmetry**: Pnma
**Calculated formation energy**: -315 meV/atom
**Total magnetization**: 0.000 μB/f.u.

---

No. 3
A plane-wave DFT calculation with GGA-PBE was carried out for a relaxed structure of ZnMo.

a b c (Å): 4.864 4.864 4.864
angles (deg): 33.14 33.14 33.14
Element x y z (fractional)
Zn  0.000  0.000  0.000
Mo  0.500  0.500  0.500

**Symmetry**: R-3m
**Calculated formation energy**: 238 meV/atom
**Total magnetization**: 0.000 μB/f.u.

---

No. 4
A plane-wave DFT calculation with GGA-PBE was carried out for a relaxed structure of Ba3Ac3SmO8.

a b c (Å): 7.738 7.738 7.738
angles (deg): 58.72 58.72 58.72
Element x y z (fractional)
Ba  0.000  0.500  0.500
Ba  0.500  0.000  0.500
Ba  0.500  0.500  0.000
Ac  0.000  0.000  0.500
Ac  0.000  0.500  0.000
Ac  0.500  0.000  0.000
Sm  0.500  0.500  0.500
O  0.238  0.238  0.238
O  0.253  0.721  0.721
O  0.279  0.279  0.747
O  0.279  0.747  0.279
O  0.721  0.253  0.721
O  0.721  0.721  0.253
O  0.747  0.279  0.279
O  0.762  0.762  0.762

**Formation energy without anion corrections**: -2.778 eV per atom
**Symmetry**: R-3m
**Total magnetization**: 0.000 μB/f.u.